This record from Alexandria describes a relaxed TbErTlZn crystal. The functional is PBE.

```
TbErTlZn
1.0
-4.616 -2.424 0.050
-1.273 -3.100 3.994
-3.686 1.481 3.377
Tl Tb Zn Er
1 1 1 1
direct
0.500 0.500 0.500
0.750 0.750 0.750
0.000 0.000 0.000
0.250 0.250 0.250
```

Properties
E above lowest polymorph	2.6	kJ/mol of atoms
spin magnetization	0.0	Bohr magnetons per cell

This record from Alexandria describes a relaxed TbErTlZn crystal. The functional is PBE.

```
TbErTlZn
1.0
-3.296 -1.555 -0.320
1.539 -2.946 -1.529
0.794 -3.061 6.699
Tb Er Tl Zn
1 1 1 1
direct
0.000 0.000 0.836
0.000 0.000 0.379
0.500 0.500 0.112
0.500 0.500 0.601
```

Properties
E above lowest polymorph	0.0	kJ/mol of atoms
spin magnetization	0.0	Bohr magnetons per cell

This record from Alexandria describes a relaxed Tb5ErTm6 crystal. The functional is PBE.

```
Tb5ErTm6
1.0
-5.320 -5.952 8.435
4.390 -0.009 4.221
0.301 4.494 4.090
Tb Er Tm
5 1 6
direct
0.500 0.167 0.667
0.000 0.333 0.333
0.500 0.500 0.000
0.000 0.667 0.667
0.500 0.833 0.333
0.000 0.000 0.000
0.750 0.083 0.333
0.250 0.584 0.333
0.250 0.250 0.000
0.750 0.750 0.000
0.750 0.416 0.667
0.250 0.917 0.667
```

Properties
E above lowest polymorph	0.0	kJ/mol of atoms
spin magnetization	0.0	Bohr magnetons per cell

This record from Alexandria describes a relaxed Tb6Er12Tm crystal. The functional is PBE.

```
Tb6Er12Tm
1.0
-1.347 -6.302 -5.677
-2.071 -4.265 7.161
-7.351 4.303 -1.098
Tb Er Tm
6 12 1
direct
0.901 0.342 0.901
0.901 0.901 0.342
0.342 0.901 0.901
0.099 0.099 0.658
0.099 0.658 0.099
0.658 0.099 0.099
0.758 0.242 0.500
0.355 0.083 0.355
0.355 0.355 0.083
0.917 0.645 0.645
0.645 0.645 0.917
0.645 0.917 0.645
0.500 0.758 0.242
0.242 0.500 0.758
0.242 0.758 0.500
0.500 0.242 0.758
0.758 0.500 0.242
0.083 0.355 0.355
0.000 0.000 0.000
```

Properties
E above lowest polymorph	3.3	kJ/mol of atoms
spin magnetization	0.0	Bohr magnetons per cell

This record from Alexandria describes a relaxed TbErTm2 crystal. The functional is PBE.

```
TbErTm2
1.0
-1.558 -3.139 0.024
2.681 -1.344 -1.813
4.618 -2.227 8.483
Tm Tb Er
2 1 1
direct
0.000 0.000 0.752
0.000 0.000 0.248
0.500 0.500 0.500
0.500 0.500 0.000
```

Properties
E above lowest polymorph	2.2	kJ/mol of atoms
spin magnetization	0.0	Bohr magnetons per cell

This record from Alexandria describes a relaxed Tb6Er5Tm crystal. The functional is PBE.

```
Tb6Er5Tm
1.0
4.779 0.020 -1.395
-1.366 8.744 -4.553
0.123 -0.806 9.294
Tm Tb Er
1 6 5
direct
0.000 0.000 0.000
0.833 0.583 0.667
0.833 0.083 0.667
0.500 0.750 0.000
0.500 0.250 0.000
0.167 0.917 0.333
0.167 0.417 0.333
0.667 0.167 0.333
0.333 0.333 0.667
0.000 0.500 0.000
0.667 0.667 0.333
0.333 0.833 0.667
```

Properties
uncorrected energy	-4.5690	eV/atom
spin magnetization	0.0	Bohr magnetons per cell

This record from Alexandria describes a relaxed Tb5Er6Tm crystal. The functional is PBE.

```
Tb5Er6Tm
1.0
-8.184 -5.054 2.766
6.903 -3.461 -6.367
2.768 1.399 4.817
Tm Tb Er
1 5 6
direct
0.000 0.000 0.000
0.848 0.152 0.500
0.653 0.347 0.000
0.500 0.500 0.500
0.347 0.653 0.000
0.152 0.848 0.500
0.430 0.070 0.250
0.930 0.570 0.750
0.251 0.251 0.751
0.749 0.749 0.249
0.070 0.430 0.250
0.570 0.930 0.750
```

Properties
E above lowest polymorph	9.7	kJ/mol of atoms
spin magnetization	0.0	Bohr magnetons per cell

This record from Alexandria describes a relaxed Tb5Er4Tm2 crystal. The functional is PBE.

```
Tb5Er4Tm2
1.0
-2.488 2.302 0.730
-3.487 -5.658 5.960
9.638 6.254 4.891
Tb Er Tm
5 4 2
direct
0.855 0.054 0.710
0.855 0.656 0.710
0.145 0.344 0.290
0.145 0.946 0.290
0.500 0.000 0.000
0.000 0.311 0.000
0.597 0.597 0.194
0.000 0.689 0.000
0.403 0.403 0.806
0.269 0.269 0.538
0.731 0.731 0.462
```

Properties
E above lowest polymorph	8.9	kJ/mol of atoms
spin magnetization	0.0	Bohr magnetons per cell

This record from Alexandria describes a relaxed Tb4Er4Tm crystal. The functional is PBE.

```
Tb4Er4Tm
1.0
-5.112 1.574 -1.149
-5.338 -6.676 1.584
-5.191 -2.397 6.791
Tb Er Tm
4 4 1
direct
0.281 0.147 0.290
0.719 0.853 0.710
0.868 0.299 0.966
0.132 0.701 0.034
0.634 0.429 0.303
0.926 0.764 0.383
0.366 0.571 0.697
0.074 0.236 0.617
0.500 0.000 0.000
```

Properties
E above lowest polymorph	8.6	kJ/mol of atoms
spin magnetization	0.0	Bohr magnetons per cell

This record from Alexandria describes a relaxed Tb5Er4Tm2 crystal. The functional is PBE.

```
Tb5Er4Tm2
1.0
6.323 -0.033 1.690
2.216 5.922 1.690
-0.118 -0.082 9.129
Tb Er Tm
5 4 2
direct
0.653 0.211 0.775
0.347 0.789 0.225
0.000 0.000 0.500
0.211 0.653 0.775
0.789 0.347 0.225
0.311 0.311 0.500
0.689 0.689 0.500
0.667 0.667 0.880
0.333 0.333 0.120
0.146 0.146 0.881
0.854 0.854 0.119
```

Properties
E above lowest polymorph	0.0	kJ/mol of atoms
spin magnetization	0.0	Bohr magnetons per cell

This record from Alexandria describes a relaxed TbErTm2 crystal. The functional is PBE.

```
TbErTm2
1.0
3.506 0.000 0.000
1.753 3.036 0.000
1.753 1.012 11.407
Tm Tb Er
2 1 1
direct
0.749 0.749 0.752
0.251 0.251 0.248
0.500 0.500 0.500
0.000 0.000 0.000
```

Properties
E above lowest polymorph	2.2	kJ/mol of atoms
spin magnetization	0.0	Bohr magnetons per cell

This record from Alexandria describes a relaxed Tb2Er2Tm crystal. The functional is PBE.

```
Tb2Er2Tm
1.0
-4.544 -1.882 -2.683
0.305 -3.135 1.682
-6.915 7.833 12.066
Tb Er Tm
4 4 2
direct
0.728 0.978 0.456
0.272 0.022 0.544
0.371 0.121 0.742
0.629 0.879 0.258
0.542 0.292 0.083
0.944 0.194 0.888
0.458 0.708 0.917
0.056 0.806 0.112
0.829 0.579 0.658
0.171 0.421 0.342
```

Properties
E above lowest polymorph	4.2	kJ/mol of atoms
spin magnetization	0.0	Bohr magnetons per cell

Which formula does entry 12 have?
Tb2Er2Tm